DFT (GGA+U) results for a geometry-optimized Ba3PmFe2O9 structure.

Results
**Calculated total energy**: -0.4806 Ry per atom
**Symmetry**: P-3m1, No. 164

Unit cell a=5.886 b=5.886 c=7.275 alpha=90.00 beta=90.00 gamma=120.00
Last column: magnetic moment on the atom in μB.
Fractional coordinates of all 15 atoms:
Ba1 0.333 0.667 0.685  0.01
Ba2 0.000 0.000 0.000  0.01
Ba3 0.667 0.333 0.315  0.01
Pm1 0.000 0.000 0.500  0.01
Fe1 0.333 0.667 0.162  3.88
Fe2 0.667 0.333 0.838  3.88
O1 0.822 0.178 0.689  -0.03
O2 0.822 0.643 0.689  -0.03
O3 0.357 0.178 0.689  -0.03
O4 0.643 0.822 0.311  -0.03
O5 0.178 0.357 0.311  -0.03
O6 0.178 0.822 0.311  -0.03
O7 0.500 0.000 0.000  -0.06
O8 0.000 0.500 0.000  -0.06
O9 0.500 0.500 0.000  -0.06